# GGA-PBE AsRuI3, optimized geometry
# * spin magnetization: 3.11 μB/f.u.
# * raw total energy: -13.44 eV per formula unit
# * formation energy (no corrections): 495 kJ/mol of formula units
# * DOS(E_F): 1.693 states/eV/f.u.
# * E above lowest polymorph: 325.3 meV per atom
data_AsRuI3
_space_group_name_H-M_alt 'P 1'
_space_group_IT_number 1
_space_group_name_Hall 'P 1'
_cell_length_a 5.6865
_cell_length_b 5.6865
_cell_length_c 5.6865
_cell_angle_alpha 90.00
_cell_angle_beta 90.00
_cell_angle_gamma 90.00
loop_
_atom_site_label
_atom_site_type_symbol
_atom_site_fract_x
_atom_site_fract_y
_atom_site_fract_z
I1 I 0.0000 0.5000 0.0000
I2 I 0.0000 0.0000 0.5000
I3 I 0.5000 0.0000 0.0000
Ru1 Ru 0.5000 0.5000 0.5000
As1 As 0.0000 0.0000 0.0000